Material: Be8CoNi2
Method: DFT, PBE
State: relaxed

For the total magnetization, the calculation gives 0.00 μB per atom. As for the formation energy: -3.21 eV/f.u.

The structure belongs to space group C2/m (No. 12); the cell edges are 10.855, 3.516 and 5.509 Å and the angles 90.00°, 117.62° and 90.00°. The asymmetric unit holds Be at (0.034, 0.000, 0.224), Be at (0.097, 0.500, 0.945), Be at (0.138, 0.000, 0.679), Be at (0.173, 0.500, 0.393), Co at (0.000, 0.500, 0.500) and Ni at (0.222, 0.000, 0.149).

Material: Be3CoNi
Method: DFT, PBE
State: relaxed

For the total magnetization, the calculation gives 0.19 μB per atom. As for the formation energy: 2.91 eV/f.u.

The structure belongs to space group Pm-3m (No. 221); the cell edges are 3.832, 3.832 and 3.832 Å and the angles 90.00°, 90.00° and 90.00°. The asymmetric unit holds Be at (0.000, 0.000, 0.500), Co at (0.500, 0.500, 0.500) and Ni at (0.000, 0.000, 0.000).

Material: Be2CoNi
Method: DFT, PBE
State: relaxed

The value obtained for the energy relative to the lowest polymorph listed for this composition is 0.2470 eV/atom. For the total magnetization, the calculation gives 0.15 μB per atom. As for the formation energy: -0.69 eV/f.u.

The structure belongs to space group R-3m (No. 166, hexagonal axes); the cell edges are 2.4447, 2.4447 and 21.5567 Å and the angles 90.00°, 90.00° and 120.00°. The asymmetric unit holds Be at (0.0000, 0.0000, 0.2504), Co at (0.0000, 0.0000, 0.0000) and Ni at (0.0000, 0.0000, 0.5000).

Material: BeCo2Ni
Method: DFT, PBE
State: relaxed

For the total magnetization, the calculation gives 0.82 μB per atom. As for the formation energy: -0.27 eV/f.u.

The structure belongs to space group Pmmm (No. 47); the cell edges are 2.821, 3.738 and 3.863 Å and the angles 90.00°, 90.00° and 90.00°. The asymmetric unit holds Be at (0.000, 0.000, 0.000), Co at (0.000, 0.500, 0.500), Co at (0.500, 0.000, 0.500) and Ni at (0.500, 0.500, 0.000).